A plane-wave DFT calculation with PBE was carried out for crystalline Sr3GeTe at its relaxed geometry.

a = 5.9651 Å, b = 5.9651 Å, c = 5.9651 Å
α = 90.00°, β = 90.00°, γ = 90.00°
Sites, in units of the cell vectors:
Sr: 0.0000 0.0000 0.5000
Sr: 0.0000 0.5000 0.0000
Sr: 0.5000 0.0000 0.0000
Ge: 0.0000 0.0000 0.0000
Te: 0.5000 0.5000 0.5000

Total magnetic moment in Bohr magnetons per cell: 0.0
Energy relative to the elements, uncorrected in kJ/mol of formula units: -338
ΔE to the lowest computed polymorph in meV per atom: 0